Here is a relaxed structure of Tb12Ga6Bi from the Alexandria database. Energies are from PBE-GGA.

Cell and atoms, written as POSCAR:
```
Tb12Ga6Bi
1.0
-8.307 -1.391 2.546
5.247 -6.020 3.695
2.532 8.041 2.521
Tb Ga Bi
12 6 1
direct
0.298 0.109 0.811 Tb
0.298 0.487 0.189 Tb
0.702 0.513 0.811 Tb
0.702 0.891 0.189 Tb
0.109 0.811 0.298 Tb
0.487 0.189 0.298 Tb
0.513 0.811 0.702 Tb
0.891 0.189 0.702 Tb
0.811 0.298 0.109 Tb
0.189 0.298 0.487 Tb
0.811 0.702 0.513 Tb
0.189 0.702 0.891 Tb
0.378 0.500 0.878 Ga
0.622 0.500 0.122 Ga
0.500 0.878 0.378 Ga
0.500 0.122 0.622 Ga
0.878 0.378 0.500 Ga
0.122 0.622 0.500 Ga
0.000 0.000 0.000 Bi
```

spin magnetization = 0.0 μB/f.u.
ΔH_f (0 K) = -0.4089 eV per atom
uncorrected energy = -4.49 eV per atom